# Cd3AgB | the Alexandria database | PBE-GGA | optimized geometry
# Space-group type: Pm-3m (221)
# Total moment (μB/cell): 0.00
# DFT total energy (eV/atom): -1.26
# Offset from the most stable computed form (eV/atom): 0.737
# Calculated formation energy (eV/atom): 1.20
data_Cd3AgB
_cell_length_a 5.213
_cell_length_b 5.213
_cell_length_c 5.213
_cell_angle_alpha 90.00
_cell_angle_beta 90.00
_cell_angle_gamma 90.00
_symmetry_space_group_name_H-M 'P 1'
_symmetry_Int_Tables_number 1
loop_
_symmetry_equiv_pos_as_xyz
'x,y,z'
loop_
_atom_site_label
_atom_site_type_symbol
_atom_site_fract_x
_atom_site_fract_y
_atom_site_fract_z
_atom_site_occupancy
Cd1 Cd 0.000 0.000 0.500 1
Cd2 Cd 0.000 0.500 0.000 1
Cd3 Cd 0.500 0.000 0.000 1
Ag1 Ag 0.000 0.000 0.000 1
B1 B 0.500 0.500 0.500 1

# GaGeSb | the Alexandria database | PBE-GGA | optimized geometry
# Space-group type: Cm (8)
# Total moment (μB/cell): 0.00
# DFT total energy (eV/atom): -3.77
# Offset from the most stable computed form (eV/atom): 0.193
# Formation energy from raw total energies (eV/atom): 0.1508
data_GaGeSb
_cell_length_a 3.101
_cell_length_b 3.101
_cell_length_c 7.868
_cell_angle_alpha 101.04
_cell_angle_beta 101.04
_cell_angle_gamma 89.30
_symmetry_space_group_name_H-M 'P 1'
_symmetry_Int_Tables_number 1
loop_
_symmetry_equiv_pos_as_xyz
'x,y,z'
loop_
_atom_site_label
_atom_site_type_symbol
_atom_site_fract_x
_atom_site_fract_y
_atom_site_fract_z
_atom_site_occupancy
Ga1 Ga 0.000 0.000 0.000 1
Ge1 Ge 0.612 0.612 0.230 1
Sb1 Sb 0.818 0.818 0.631 1